Record 1
A plane-wave DFT calculation with SCAN was carried out for a PBEsol-optimized structure of Mn3H24O12F8.

Computed properties:
**Total magnetic moment**: 13.000 μB per cell
**Total DFT energy (no corrections)**: -6.5939 eV/atom
**Crystal system**: triclinic
**Volume**: 387 Å³ per cell

a b c (Å): 5.860 8.911 8.841
angles (deg): 111.08 102.62 106.21
Atoms (fractional coordinates):
Mn (0.000, 0.000, 0.000)
Mn (0.835, 0.295, 0.612)
Mn (0.165, 0.705, 0.388)
H (0.771, 0.637, 0.804)
H (0.229, 0.363, 0.196)
H (0.862, 0.677, 0.007)
H (0.138, 0.323, 0.993)
H (0.550, 0.940, 0.812)
H (0.450, 0.060, 0.188)
H (0.682, 0.153, 0.961)
H (0.318, 0.847, 0.039)
H (0.192, 0.422, 0.498)
H (0.808, 0.578, 0.502)
H (0.303, 0.330, 0.614)
H (0.697, 0.670, 0.386)
H (0.855, 0.105, 0.270)
H (0.145, 0.895, 0.730)
H (0.056, 0.006, 0.302)
H (0.944, 0.994, 0.698)
H (0.372, 0.105, 0.573)
H (0.628, 0.895, 0.427)
H (0.530, 0.254, 0.784)
H (0.470, 0.746, 0.216)
H (0.476, 0.303, 0.034)
H (0.524, 0.697, 0.966)
H (0.757, 0.426, 0.045)
H (0.243, 0.574, 0.955)
O (0.779, 0.717, 0.922)
O (0.221, 0.283, 0.078)
O (0.700, 0.033, 0.926)
O (0.300, 0.967, 0.074)
O (0.175, 0.382, 0.590)
O (0.825, 0.618, 0.410)
O (0.983, 0.058, 0.228)
O (0.017, 0.942, 0.772)
O (0.496, 0.231, 0.656)
O (0.504, 0.769, 0.344)
O (0.614, 0.304, 0.980)
O (0.386, 0.696, 0.020)
F (0.794, 0.511, 0.635)
F (0.206, 0.489, 0.365)
F (0.049, 0.389, 0.871)
F (0.951, 0.611, 0.129)
F (0.828, 0.061, 0.579)
F (0.172, 0.939, 0.421)
F (0.674, 0.169, 0.335)
F (0.326, 0.831, 0.665)



Record 2
A plane-wave DFT calculation with SCAN was carried out for a PBEsol-optimized structure of MnHOF2.

Computed properties:
**Total magnetic moment**: 4.000 μB per cell
**Total DFT energy (no corrections)**: -8.3163 eV/atom
**Crystal system**: tetragonal
**Volume**: 53 Å³ per cell

a b c (Å): 3.534 3.857 3.857
angles (deg): 90.00 90.00 90.00
Atoms (fractional coordinates):
H (0.500, 0.500, 0.500)
Mn (0.000, 0.000, 0.000)
O (0.500, 0.000, 0.000)
F (0.000, 0.000, 0.500)
F (0.000, 0.500, 0.000)



Record 3
A plane-wave DFT calculation with SCAN was carried out for a PBEsol-optimized structure of Rb2MnP2H3O8F2.

Computed properties:
**Total magnetic moment**: 8.000 μB per cell
**Total DFT energy (no corrections)**: -10.4567 eV/atom
**Crystal system**: monoclinic
**Volume**: 454 Å³ per cell

a b c (Å): 7.449 7.882 8.512
angles (deg): 90.00 114.72 90.00
Atoms (fractional coordinates):
Rb (0.136, 0.658, 0.443)
Rb (0.864, 0.158, 0.557)
Rb (0.864, 0.341, 0.057)
Rb (0.136, 0.841, 0.943)
Mn (0.500, 0.499, 0.250)
Mn (0.500, 0.999, 0.750)
P (0.683, 0.862, 0.131)
P (0.317, 0.362, 0.869)
P (0.317, 0.137, 0.369)
P (0.683, 0.637, 0.631)
H (0.708, 0.718, 0.923)
H (0.292, 0.218, 0.077)
H (0.292, 0.281, 0.577)
H (0.708, 0.781, 0.423)
H (0.000, 0.999, 0.250)
H (0.000, 0.499, 0.750)
O (0.791, 0.732, 0.059)
O (0.209, 0.232, 0.941)
O (0.209, 0.267, 0.441)
O (0.791, 0.767, 0.559)
O (0.519, 0.548, 0.476)
O (0.481, 0.048, 0.524)
O (0.481, 0.451, 0.024)
O (0.519, 0.951, 0.976)
O (0.841, 0.986, 0.252)
O (0.159, 0.486, 0.748)
O (0.159, 0.013, 0.248)
O (0.841, 0.513, 0.752)
O (0.590, 0.772, 0.239)
O (0.410, 0.272, 0.761)
O (0.410, 0.227, 0.261)
O (0.590, 0.727, 0.739)
F (0.235, 0.556, 0.162)
F (0.765, 0.056, 0.838)
F (0.765, 0.443, 0.338)
F (0.235, 0.943, 0.662)



Record 4
A plane-wave DFT calculation with SCAN was carried out for a PBEsol-optimized structure of Rb2MnH2OF5.

Computed properties:
**Total magnetic moment**: 8.000 μB per cell
**Total DFT energy (no corrections)**: -10.7116 eV/atom
**Crystal system**: orthorhombic
**Volume**: 312 Å³ per cell

a b c (Å): 6.120 6.120 8.444
angles (deg): 90.00 90.00 99.36
Atoms (fractional coordinates):
Rb (0.002, 0.424, 0.250)
Rb (0.998, 0.576, 0.750)
Rb (0.424, 0.002, 0.250)
Rb (0.576, 0.998, 0.750)
Mn (0.500, 0.500, 0.000)
Mn (0.500, 0.500, 0.500)
H (0.866, 0.866, 0.155)
H (0.134, 0.134, 0.655)
H (0.866, 0.866, 0.345)
H (0.134, 0.134, 0.845)
O (0.941, 0.941, 0.250)
O (0.059, 0.059, 0.750)
F (0.503, 0.503, 0.750)
F (0.497, 0.497, 0.250)
F (0.303, 0.697, 0.000)
F (0.697, 0.303, 0.500)
F (0.697, 0.303, 0.000)
F (0.303, 0.697, 0.500)
F (0.738, 0.738, 0.000)
F (0.262, 0.262, 0.500)
F (0.738, 0.738, 0.500)
F (0.262, 0.262, 0.000)



Record 5
A plane-wave DFT calculation with SCAN was carried out for a PBEsol-optimized structure of TiMnH12O6F6.

Computed properties:
**Total magnetic moment**: 5.075 μB per cell
**Total DFT energy (no corrections)**: -6.9313 eV/atom
**Crystal system**: trigonal
**Volume**: 269 Å³ per cell

a b c (Å): 6.516 6.516 6.516
angles (deg): 97.43 97.43 97.43
Atoms (fractional coordinates):
Ti (0.500, 0.500, 0.500)
Mn (0.000, 0.000, 0.000)
H (0.268, 0.035, 0.370)
H (0.732, 0.965, 0.630)
H (0.211, 0.714, 0.780)
H (0.220, 0.789, 0.286)
H (0.714, 0.780, 0.211)
H (0.965, 0.630, 0.732)
H (0.630, 0.732, 0.965)
H (0.370, 0.268, 0.035)
H (0.035, 0.370, 0.268)
H (0.286, 0.220, 0.789)
H (0.780, 0.211, 0.714)
H (0.789, 0.286, 0.220)
O (0.218, 0.929, 0.244)
O (0.071, 0.756, 0.782)
O (0.756, 0.782, 0.071)
O (0.244, 0.218, 0.929)
O (0.929, 0.244, 0.218)
O (0.782, 0.071, 0.756)
F (0.637, 0.756, 0.444)
F (0.444, 0.637, 0.756)
F (0.244, 0.556, 0.363)
F (0.756, 0.444, 0.637)
F (0.556, 0.363, 0.244)
F (0.363, 0.244, 0.556)



Record 6
A plane-wave DFT calculation with SCAN was carried out for a PBEsol-optimized structure of MnVH4O2F5.

Computed properties:
**Total magnetic moment**: 14.000 μB per cell
**Total DFT energy (no corrections)**: -8.2832 eV/atom
**Crystal system**: orthorhombic
**Volume**: 265 Å³ per cell

a b c (Å): 6.416 7.377 7.377
angles (deg): 61.52 64.23 64.23
Atoms (fractional coordinates):
Mn (0.500, 0.000, 0.000)
Mn (0.000, 0.500, 0.500)
V (0.000, 0.500, 0.000)
V (0.000, 0.000, 0.500)
H (0.798, 0.194, 0.982)
H (0.474, 0.306, 0.518)
H (0.202, 0.018, 0.806)
H (0.526, 0.482, 0.694)
H (0.202, 0.806, 0.018)
H (0.526, 0.694, 0.482)
H (0.798, 0.982, 0.194)
H (0.474, 0.518, 0.306)
O (0.737, 0.066, 0.066)
O (0.368, 0.434, 0.434)
O (0.263, 0.934, 0.934)
O (0.632, 0.566, 0.566)
F (0.945, 0.250, 0.250)
F (0.055, 0.750, 0.750)
F (0.335, 0.905, 0.341)
F (0.082, 0.595, 0.159)
F (0.665, 0.659, 0.095)
F (0.918, 0.841, 0.405)
F (0.665, 0.095, 0.659)
F (0.918, 0.405, 0.841)
F (0.335, 0.341, 0.905)
F (0.082, 0.159, 0.595)



Record 7
A plane-wave DFT calculation with SCAN was carried out for a PBEsol-optimized structure of MoH6NO3F2.

Computed properties:
**Total magnetic moment**: 0.000 μB per cell
**Total DFT energy (no corrections)**: -8.3902 eV/atom
**Crystal system**: monoclinic
**Volume**: 469 Å³ per cell

a b c (Å): 7.834 8.421 8.421
angles (deg): 113.56 102.36 102.36
Atoms (fractional coordinates):
Mo (0.267, 0.727, 0.010)
Mo (0.233, 0.990, 0.273)
Mo (0.733, 0.273, 0.990)
Mo (0.767, 0.010, 0.727)
H (0.131, 0.544, 0.360)
H (0.369, 0.640, 0.456)
H (0.869, 0.456, 0.640)
H (0.631, 0.360, 0.544)
H (0.261, 0.419, 0.402)
H (0.239, 0.598, 0.581)
H (0.739, 0.581, 0.598)
H (0.761, 0.402, 0.419)
H (0.344, 0.292, 0.881)
H (0.156, 0.119, 0.708)
H (0.656, 0.708, 0.119)
H (0.844, 0.881, 0.292)
H (0.349, 0.238, 0.132)
H (0.151, 0.868, 0.762)
H (0.651, 0.762, 0.868)
H (0.849, 0.132, 0.238)
H (0.122, 0.194, 0.083)
H (0.378, 0.917, 0.806)
H (0.878, 0.806, 0.917)
H (0.622, 0.083, 0.194)
H (0.178, 0.341, 0.758)
H (0.322, 0.242, 0.659)
H (0.822, 0.659, 0.242)
H (0.678, 0.758, 0.341)
N (0.250, 0.550, 0.450)
N (0.750, 0.450, 0.550)
N (0.250, 0.248, 0.752)
N (0.750, 0.752, 0.248)
O (0.276, 0.587, 0.105)
O (0.224, 0.895, 0.413)
O (0.724, 0.413, 0.895)
O (0.776, 0.105, 0.587)
O (0.055, 0.806, 0.034)
O (0.445, 0.966, 0.194)
O (0.945, 0.194, 0.966)
O (0.555, 0.034, 0.806)
O (0.261, 0.833, 0.804)
O (0.239, 0.196, 0.167)
O (0.739, 0.167, 0.196)
O (0.761, 0.804, 0.833)
F (0.485, 0.683, 0.922)
F (0.015, 0.078, 0.317)
F (0.515, 0.317, 0.078)
F (0.985, 0.922, 0.683)
F (0.097, 0.510, 0.762)
F (0.403, 0.238, 0.490)
F (0.903, 0.490, 0.238)
F (0.597, 0.762, 0.510)



Record 8
A plane-wave DFT calculation with SCAN was carried out for a PBEsol-optimized structure of MoHO2F.

Computed properties:
**Total magnetic moment**: 0.803 μB per cell
**Total DFT energy (no corrections)**: -11.4478 eV/atom
**Crystal system**: tetragonal
**Volume**: 36 Å³ per cell

a b c (Å): 2.594 3.709 3.709
angles (deg): 90.00 90.00 90.00
Atoms (fractional coordinates):
H (0.000, 0.000, 0.000)
Mo (0.500, 0.500, 0.500)
O (0.000, 0.000, 0.500)
O (0.000, 0.500, 0.000)
F (0.500, 0.000, 0.000)



Record 9
A plane-wave DFT calculation with SCAN was carried out for a PBEsol-optimized structure of ScMo2HF.

Computed properties:
**Total magnetic moment**: 0.000 μB per cell
**Total DFT energy (no corrections)**: -18.4119 eV/atom
**Crystal system**: tetragonal
**Volume**: 69 Å³ per cell

a b c (Å): 3.562 3.562 5.469
angles (deg): 90.00 90.00 90.00
Atoms (fractional coordinates):
Sc (0.000, 0.000, 0.500)
H (0.000, 0.000, 0.000)
Mo (0.000, 0.500, 0.000)
Mo (0.500, 0.000, 0.000)
F (0.500, 0.500, 0.500)



Record 10
A plane-wave DFT calculation with SCAN was carried out for a PBEsol-optimized structure of NaVH8N2F6.

Computed properties:
**Total magnetic moment**: 2.000 μB per cell
**Total DFT energy (no corrections)**: -6.6315 eV/atom
**Crystal system**: cubic
**Volume**: 145 Å³ per cell

a b c (Å): 5.896 5.896 5.896
angles (deg): 60.00 60.00 60.00
Atoms (fractional coordinates):
Na (0.500, 0.500, 0.500)
V (0.000, 0.000, 0.000)
H (0.036, 0.321, 0.321)
H (0.964, 0.679, 0.679)
H (0.321, 0.036, 0.321)
H (0.321, 0.321, 0.036)
H (0.679, 0.964, 0.679)
H (0.679, 0.679, 0.964)
H (0.321, 0.321, 0.321)
H (0.679, 0.679, 0.679)
N (0.250, 0.250, 0.250)
N (0.750, 0.750, 0.750)
F (0.766, 0.234, 0.234)
F (0.234, 0.766, 0.766)
F (0.766, 0.234, 0.766)
F (0.234, 0.766, 0.234)
F (0.766, 0.766, 0.234)
F (0.234, 0.234, 0.766)



Record 11
A plane-wave DFT calculation with SCAN was carried out for a PBEsol-optimized structure of NbHN2F.

Computed properties:
**Total magnetic moment**: 0.789 μB per cell
**Total DFT energy (no corrections)**: -11.6658 eV/atom
**Crystal system**: tetragonal
**Volume**: 66 Å³ per cell

a b c (Å): 4.004 4.004 4.110
angles (deg): 90.00 90.00 90.00
Atoms (fractional coordinates):
H (0.500, 0.500, 0.500)
Nb (0.000, 0.000, 0.000)
N (0.000, 0.500, 0.000)
N (0.500, 0.000, 0.000)
F (0.000, 0.000, 0.500)



Record 12
A plane-wave DFT calculation with SCAN was carried out for a PBEsol-optimized structure of NbH8N2O2F5.

Computed properties:
**Total magnetic moment**: 0.001 μB per cell
**Total DFT energy (no corrections)**: -7.6182 eV/atom
**Crystal system**: orthorhombic
**Volume**: 614 Å³ per cell

a b c (Å): 7.615 8.681 9.286
angles (deg): 90.00 90.00 90.00
Atoms (fractional coordinates):
Nb (0.975, 0.750, 0.128)
Nb (0.475, 0.250, 0.372)
Nb (0.525, 0.750, 0.628)
Nb (0.025, 0.250, 0.872)
H (0.330, 0.426, 0.013)
H (0.330, 0.074, 0.013)
H (0.619, 0.422, 0.098)
H (0.619, 0.078, 0.098)
H (0.523, 0.897, 0.127)
H (0.523, 0.603, 0.127)
H (0.059, 0.250, 0.183)
H (0.856, 0.250, 0.233)
H (0.356, 0.750, 0.267)
H (0.559, 0.750, 0.317)
H (0.023, 0.397, 0.373)
H (0.023, 0.103, 0.373)
H (0.119, 0.922, 0.402)
H (0.119, 0.578, 0.402)
H (0.830, 0.926, 0.487)
H (0.830, 0.574, 0.487)
H (0.170, 0.426, 0.513)
H (0.170, 0.074, 0.513)
H (0.881, 0.422, 0.598)
H (0.881, 0.078, 0.598)
H (0.977, 0.897, 0.627)
H (0.977, 0.603, 0.627)
H (0.441, 0.250, 0.683)
H (0.644, 0.250, 0.733)
H (0.144, 0.750, 0.767)
H (0.941, 0.750, 0.817)
H (0.477, 0.397, 0.873)
H (0.477, 0.103, 0.873)
H (0.381, 0.922, 0.902)
H (0.381, 0.578, 0.902)
H (0.670, 0.926, 0.987)
H (0.670, 0.574, 0.987)
N (0.570, 0.978, 0.047)
N (0.570, 0.522, 0.047)
N (0.070, 0.478, 0.453)
N (0.070, 0.022, 0.453)
N (0.930, 0.978, 0.547)
N (0.930, 0.522, 0.547)
N (0.430, 0.478, 0.953)
N (0.430, 0.022, 0.953)
O (0.168, 0.250, 0.025)
O (0.480, 0.750, 0.230)
O (0.980, 0.250, 0.270)
O (0.668, 0.750, 0.475)
O (0.332, 0.250, 0.525)
O (0.020, 0.750, 0.730)
O (0.520, 0.250, 0.770)
O (0.832, 0.750, 0.975)
F (0.144, 0.904, 0.069)
F (0.144, 0.596, 0.069)
F (0.647, 0.250, 0.174)
F (0.853, 0.908, 0.240)
F (0.853, 0.592, 0.240)
F (0.353, 0.408, 0.260)
F (0.353, 0.092, 0.260)
F (0.147, 0.750, 0.326)
F (0.644, 0.404, 0.431)
F (0.644, 0.096, 0.431)
F (0.356, 0.904, 0.569)
F (0.356, 0.596, 0.569)
F (0.853, 0.250, 0.674)
F (0.647, 0.908, 0.740)
F (0.647, 0.592, 0.740)
F (0.147, 0.408, 0.760)
F (0.147, 0.092, 0.760)
F (0.353, 0.750, 0.826)
F (0.856, 0.404, 0.931)
F (0.856, 0.096, 0.931)



> Which value of total DFT energy (no corrections) does entry 7 give?

-8.3902 eV/atom



> Which value of volume does entry 8 give?

36 Å³ per cell



> Which of these has the lowest total DFT energy (no corrections)?

ScMo2HF